Record 1
K2InSn4Au3: optimized geometry, PBE.

POSCAR file:
```
K2InSn4Au3
1.0
4.811 0.000 0.000
0.000 4.811 0.000
0.000 0.000 11.870
K In Sn Au
2 1 4 3
direct
0.000 0.500 0.249
0.500 0.000 0.751
0.000 0.000 0.500
0.000 0.000 0.000
0.000 0.500 0.641
0.500 0.000 0.359
0.500 0.500 0.000
0.000 0.500 0.872
0.500 0.000 0.128
0.500 0.500 0.500
```

Computed properties:
symmetry = P-4m2, No. 115

***

Record 2
KInSn2Au: optimized geometry, PBE.

POSCAR file:
```
KInSn2Au
1.0
-2.449 2.449 6.077
2.449 -2.449 6.077
2.449 2.449 -6.077
K In Sn Au
1 1 2 1
direct
0.000 0.000 0.000
0.750 0.250 0.500
0.380 0.380 0.000
0.620 0.620 0.000
0.250 0.750 0.500
```

Computed properties:
symmetry = I-4m2, No. 119

***

Record 3
K2In3Sn4Au: optimized geometry, PBE.

POSCAR file:
```
K2In3Sn4Au
1.0
5.022 0.000 0.000
0.000 5.022 0.000
0.000 0.000 12.210
K In Sn Au
2 3 4 1
direct
0.000 0.500 0.237
0.500 0.000 0.763
0.000 0.000 0.000
0.000 0.500 0.640
0.500 0.000 0.360
0.000 0.000 0.500
0.000 0.500 0.878
0.500 0.000 0.122
0.500 0.500 0.500
0.500 0.500 0.000
```

Computed properties:
symmetry = P-4m2, No. 115

***

Record 4
K2In4Sn3Au: optimized geometry, PBE.

POSCAR file:
```
K2In4Sn3Au
1.0
5.083 0.000 0.000
0.000 5.083 0.000
0.000 0.000 11.998
K In Sn Au
2 4 3 1
direct
0.000 0.500 0.240
0.500 0.000 0.760
0.000 0.000 0.500
0.000 0.500 0.880
0.500 0.000 0.120
0.500 0.500 0.500
0.000 0.000 0.000
0.000 0.500 0.636
0.500 0.000 0.364
0.500 0.500 0.000
```

Computed properties:
symmetry = P-4m2, No. 115

***

Number 1: magnetic moment 0.000 Bohr magnetons per cell, raw total energy -3.35 eV/atom. Number 2: magnetic moment 0.000 Bohr magnetons per cell, raw total energy -3.22 eV/atom. Number 3: magnetic moment 0.000 Bohr magnetons per cell, raw total energy -3.14 eV/atom. Number 4: magnetic moment 0.000 Bohr magnetons per cell, raw total energy -3.01 eV/atom.